ThZr2Rh (GGA-PBE, relaxed); energy = -8.346 eV/atom; crystal system = orthorhombic; ΔE to the lowest computed polymorph = 0 meV/atom; formation energy from the elements = -0.379 eV/atom; M_tot = 0.00 Bohr magnetons per cell
1.0
6.656 0.000 0.000
0.000 9.666 0.000
0.000 0.000 5.847
Th Zr Rh
4 8 4
Cartesian
0.258 2.416 0.865
3.070 7.249 3.788
3.586 2.416 2.059
6.399 7.249 4.982
1.260 0.467 3.762
1.260 4.366 3.762
2.068 5.300 0.839
2.068 9.199 0.839
4.588 0.467 5.008
4.588 4.366 5.008
5.396 5.300 2.085
5.396 9.199 2.085
0.721 7.249 2.255
2.607 2.416 5.178
4.049 7.249 0.669
5.935 2.416 3.592